Entry 1:
Compound: ZrNp2MnS5
Source: the Alexandria database
Functional: PBE
Structure: optimized geometry

Calculated values
Fermi-level density of states = 2.073 states/eV per atom
formation energy (no corrections) = -1255 meV/atom
space-group type = No. 36
raw total energy = -151.070 eV for the cell shown

Cell lengths 3.6776, 8.2247, 11.5909 Å; angles 90.00, 90.00, 102.92 degrees
Closest atoms and distances in Å follow each position.
Fractional positions:
Zr 0.8213 0.6427 0.5218  6 S 2.63-2.64, 2 Mn 2.88
Zr 0.1787 0.3573 0.0218  6 S 2.63-2.64, 2 Mn 2.88
Np 0.8899 0.7799 0.8456  7 S 2.78-2.93
Np 0.1273 0.2546 0.6957  8 S 2.80-3.05
Np 0.1101 0.2201 0.3456  7 S 2.78-2.93
Np 0.8727 0.7454 0.1957  8 S 2.80-3.05
Mn 0.5597 0.1194 0.9255  4 S 2.22-2.29
Mn 0.4403 0.8806 0.4255  4 S 2.22-2.29
S 0.3429 0.6858 0.0183  1 Zr 2.63, 4 Np 2.80-2.82
S 0.6942 0.3884 0.8599  1 Mn 2.29
S 0.5012 0.0024 0.7521  1 Mn 2.22
S 0.3076 0.6151 0.6846  2 Zr 2.64, 3 Np 2.89-2.93
S 0.9854 0.9708 0.5205  2 Mn 2.26
S 0.6571 0.3142 0.5183  1 Zr 2.63, 4 Np 2.80-2.82
S 0.3058 0.6116 0.3599  1 Mn 2.29
S 0.4988 0.9976 0.2521  1 Mn 2.22
S 0.6924 0.3849 0.1846  2 Zr 2.64, 3 Np 2.89-2.93
S 0.0146 0.0292 0.0205  2 Mn 2.26

---

Entry 2:
Compound: NpMnSb3
Source: the Alexandria database
Functional: PBE
Structure: optimized geometry

Calculated values
Fermi-level density of states = 2.245 states/eV per atom
formation energy (no corrections) = -173 meV/atom
space-group type = No. 57
raw total energy = -141.373 eV for the cell shown

Cell lengths 6.0069, 6.2104, 12.7158 Å; angles 90.00, 90.00, 90.00 degrees
Closest atoms and distances in Å follow each position.
Fractional positions:
Np 0.7500 0.4876 0.6901  9 Sb 3.14-3.26
Np 0.2500 0.5124 0.3099  9 Sb 3.14-3.26
Np 0.7500 0.9876 0.3099  9 Sb 3.14-3.26
Np 0.2500 0.0124 0.6901  9 Sb 3.14-3.26
Mn 0.5000 0.2500 0.0934  6 Sb 2.68-2.76
Mn 0.0000 0.7500 0.9066  6 Sb 2.68-2.76
Mn 0.5000 0.7500 0.9066  6 Sb 2.68-2.76
Mn 0.0000 0.2500 0.0934  6 Sb 2.68-2.76
Sb 0.0000 0.2500 0.4968  4 Sb 3.00-3.11, 4 Np 3.24-3.25
Sb 0.5000 0.7500 0.5032  4 Sb 3.00-3.11, 4 Np 3.24-3.25
Sb 0.0000 0.7500 0.5032  4 Sb 3.00-3.11, 4 Np 3.24-3.25
Sb 0.5000 0.2500 0.4968  4 Sb 3.00-3.11, 4 Np 3.24-3.25
Sb 0.2500 0.1025 0.9331  4 Mn 2.68-2.69
Sb 0.7500 0.8975 0.0669  4 Mn 2.68-2.69
Sb 0.2500 0.6025 0.0669  4 Mn 2.68-2.69
Sb 0.7500 0.3975 0.9331  4 Mn 2.68-2.69
Sb 0.2500 0.5138 0.7654  2 Mn 2.76
Sb 0.7500 0.4862 0.2346  2 Mn 2.76
Sb 0.2500 0.0138 0.2346  2 Mn 2.76
Sb 0.7500 0.9862 0.7654  2 Mn 2.76

---

Entry 3:
Compound: Np4Mn3Sb8
Source: the Alexandria database
Functional: PBE
Structure: optimized geometry

Calculated values
Fermi-level density of states = 2.527 states/eV per atom
formation energy (no corrections) = -180 meV/atom
space-group type = No. 115
raw total energy = -114.952 eV for the cell shown

Cell lengths 4.4054, 4.4054, 18.3455 Å; angles 90.00, 90.00, 90.00 degrees
Closest atoms and distances in Å follow each position.
Fractional positions:
Np 0.5000 0.0000 0.3807  4 Mn 3.11, 8 Sb 3.18-3.32
Np 0.5000 0.0000 0.8889  2 Mn 3.00, 8 Sb 3.19-3.31
Np 0.0000 0.5000 0.1111  2 Mn 3.00, 8 Sb 3.19-3.31
Np 0.0000 0.5000 0.6193  4 Mn 3.11, 8 Sb 3.18-3.32
Mn 0.5000 0.5000 0.5000  4 Sb 2.68
Mn 0.0000 0.0000 0.0000  4 Sb 2.59
Mn 0.0000 0.0000 0.5000  4 Sb 2.68
Sb 0.5000 0.0000 0.0740  2 Mn 2.59
Sb 0.5000 0.0000 0.5834  4 Mn 2.68
Sb 0.0000 0.5000 0.4166  4 Mn 2.68
Sb 0.0000 0.5000 0.9260  2 Mn 2.59
Sb 0.5000 0.5000 0.2453  4 Sb 3.12, 4 Np 3.30-3.32
Sb 0.5000 0.5000 0.7547  4 Sb 3.12, 4 Np 3.30-3.32
Sb 0.0000 0.0000 0.2459  4 Sb 3.12, 4 Np 3.31
Sb 0.0000 0.0000 0.7541  4 Sb 3.12, 4 Np 3.31

---

Entry 4:
Compound: Np6MnSb10
Source: the Alexandria database
Functional: PBE
Structure: optimized geometry

Calculated values
Fermi-level density of states = 2.959 states/eV per atom
formation energy (no corrections) = -224 meV/atom
space-group type = No. 162
raw total energy = -131.841 eV for the cell shown

Cell lengths 6.0958, 9.0309, 9.0309 Å; angles 120.00, 90.00, 90.00 degrees
Closest atoms and distances in Å follow each position.
Fractional positions:
Np 0.7480 0.3903 0.3903  9 Sb 3.09-3.33
Np 0.7480 0.0000 0.6097  9 Sb 3.09-3.33
Np 0.7480 0.6097 0.0000  9 Sb 3.09-3.33
Np 0.2520 0.6097 0.6097  9 Sb 3.09-3.33
Np 0.2520 0.0000 0.3903  9 Sb 3.09-3.33
Np 0.2520 0.3903 0.0000  9 Sb 3.09-3.33
Mn 0.5000 0.0000 0.0000  6 Sb 2.73
Sb 0.7564 0.7524 0.7524  1 Mn 2.73
Sb 0.7564 0.0000 0.2476  1 Mn 2.73
Sb 0.7564 0.2476 0.0000  1 Mn 2.73
Sb 0.2436 0.2476 0.2476  1 Mn 2.73
Sb 0.2436 0.0000 0.7524  1 Mn 2.73
Sb 0.2436 0.7524 0.0000  1 Mn 2.73
Sb 0.5000 0.3333 0.6667  2 Sb 3.05, 6 Np 3.17
Sb 0.5000 0.6667 0.3333  2 Sb 3.05, 6 Np 3.17
Sb 0.0000 0.6667 0.3333  2 Sb 3.05, 6 Np 3.18
Sb 0.0000 0.3333 0.6667  2 Sb 3.05, 6 Np 3.18

---

Entry 5:
Compound: NpMn2Sb
Source: the Alexandria database
Functional: PBE
Structure: optimized geometry

Calculated values
Fermi-level density of states = 1.460 states/eV per atom
formation energy (no corrections) = 89 meV/atom
space-group type = No. 123
raw total energy = -35.046 eV for the cell shown

Cell lengths 3.5701, 4.4544, 4.4544 Å; angles 90.00, 90.00, 90.00 degrees
Closest atoms and distances in Å follow each position.
Fractional positions:
Np 0.5000 0.5000 0.5000  8 Mn 2.85, 4 Sb 3.15
Sb 0.5000 0.0000 0.0000  8 Mn 2.85, 4 Np 3.15
Mn 0.0000 0.0000 0.5000  4 Sb 2.85, 4 Np 2.85, 4 Mn 3.15
Mn 0.0000 0.5000 0.0000  4 Sb 2.85, 4 Np 2.85, 4 Mn 3.15

---

Entry 6:
Compound: NpMnTcSb
Source: the Alexandria database
Functional: PBE
Structure: optimized geometry

Calculated values
Fermi-level density of states = 1.047 states/eV per atom
formation energy (no corrections) = 56 meV/atom
space-group type = No. 216
raw total energy = -36.375 eV for the cell shown

Cell lengths 4.6253, 4.6253, 4.6253 Å; angles 60.00, 60.00, 60.00 degrees
Closest atoms and distances in Å follow each position.
Fractional positions:
Np 0.2500 0.2500 0.2500  4 Tc 2.83, 4 Mn 2.83
Sb 0.7500 0.7500 0.7500  4 Mn 2.83, 4 Tc 2.83
Mn 0.0000 0.0000 0.0000  4 Sb 2.83, 4 Np 2.83
Tc 0.5000 0.5000 0.5000  4 Np 2.83, 4 Sb 2.83